No. 1
A plane-wave DFT calculation with PBE was carried out for a relaxed structure of NaZrRu2.

```
data_NaZrRu2
_symmetry_space_group_name_H-M 'I -4 2 d'
_symmetry_Int_Tables_number 122
_symmetry_space_group_name_Hall 'I -4 2bw'
_cell_length_a 4.194
_cell_length_b 4.194
_cell_length_c 18.466
_cell_angle_alpha 90.00
_cell_angle_beta 90.00
_cell_angle_gamma 90.00
loop_
_atom_site_label
_atom_site_type_symbol
_atom_site_fract_x
_atom_site_fract_y
_atom_site_fract_z
Na1 Na 0.000 0.000 0.000
Zr1 Zr 0.000 0.000 0.500
Ru1 Ru 0.161 0.250 0.625
```

Computed properties:
Offset from the most stable computed form: 51.7 kJ/mol of atoms
ΔE_f: 0.85 eV per atom
Magnetic moment: 3.8 μB per cell


No. 2
A plane-wave DFT calculation with PBE was carried out for a relaxed structure of PbAu3F.

```
data_PbAu3F
_symmetry_space_group_name_H-M 'P m -3 m'
_symmetry_Int_Tables_number 221
_symmetry_space_group_name_Hall '-P 4 2 3'
_cell_length_a 4.740
_cell_length_b 4.740
_cell_length_c 4.740
_cell_angle_alpha 90.00
_cell_angle_beta 90.00
_cell_angle_gamma 90.00
loop_
_atom_site_label
_atom_site_type_symbol
_atom_site_fract_x
_atom_site_fract_y
_atom_site_fract_z
Pb1 Pb 0.000 0.000 0.000
Au1 Au 0.000 0.500 0.500
F1 F 0.500 0.500 0.500
```

Computed properties:
E_form (uncorrected): 0.18 eV per atom
Offset from the most stable computed form: 0.0 kJ/mol of atoms
Magnetic moment: 0.0 μB per cell


No. 3
A plane-wave DFT calculation with PBE was carried out for a relaxed structure of Rb3Sn2Bi4.

```
data_Rb3Sn2Bi4
_symmetry_space_group_name_H-M 'P -1'
_symmetry_Int_Tables_number 2
_cell_length_a 5.361
_cell_length_b 7.290
_cell_length_c 10.574
_cell_angle_alpha 102.28
_cell_angle_beta 90.11
_cell_angle_gamma 111.51
loop_
_symmetry_equiv_pos_as_xyz
'x,y,z'
'-x,-y,-z'
loop_
_atom_site_label
_atom_site_type_symbol
_atom_site_fract_x
_atom_site_fract_y
_atom_site_fract_z
Rb1 Rb 0.000 0.000 0.000
Rb2 Rb 0.394 0.789 0.294
Sn1 Sn 0.301 0.601 0.644
Bi1 Bi 0.101 0.202 0.425
Bi2 Bi 0.275 0.550 0.928
```

Computed properties:
Offset from the most stable computed form: 0.0 kJ/mol of atoms
ΔE_f: -0.26 eV per atom
Magnetic moment: 0.0 μB per cell


No. 4
A plane-wave DFT calculation with PBE was carried out for a relaxed structure of Tb3Pr4Zn.

```
data_Tb3Pr4Zn
_symmetry_space_group_name_H-M 'P 4/m m m'
_symmetry_Int_Tables_number 123
_symmetry_space_group_name_Hall '-P 4 2'
_cell_length_a 3.678
_cell_length_b 3.678
_cell_length_c 18.986
_cell_angle_alpha 90.00
_cell_angle_beta 90.00
_cell_angle_gamma 90.00
loop_
_atom_site_label
_atom_site_type_symbol
_atom_site_fract_x
_atom_site_fract_y
_atom_site_fract_z
Tb1 Tb 0.000 0.000 0.000
Tb2 Tb 0.000 0.000 0.266
Pr1 Pr 0.500 0.500 0.133
Pr2 Pr 0.500 0.500 0.402
Zn1 Zn 0.000 0.000 0.500
```

Computed properties:
ΔE_f: -0.06 eV per atom
Magnetic moment: 0.0 μB per cell


No. 5
A plane-wave DFT calculation with PBE was carried out for a relaxed structure of SbRuCl2.

```
data_SbRuCl2
_symmetry_space_group_name_H-M 'P 4 m m'
_symmetry_Int_Tables_number 99
_cell_length_a 3.230
_cell_length_b 3.230
_cell_length_c 8.576
_cell_angle_alpha 90.00
_cell_angle_beta 90.00
_cell_angle_gamma 90.00
loop_
_symmetry_equiv_pos_as_xyz
'x,y,z'
'-y,x,z'
'-x,-y,z'
'y,-x,z'
'-x,y,z'
'y,x,z'
'x,-y,z'
'-y,-x,z'
loop_
_atom_site_label
_atom_site_type_symbol
_atom_site_fract_x
_atom_site_fract_y
_atom_site_fract_z
Sb1 Sb 0.000 0.000 0.000
Ru1 Ru 0.500 0.500 0.813
Cl1 Cl 0.000 0.000 0.634
Cl2 Cl 0.500 0.500 0.229
```

Computed properties:
E_form (uncorrected): 0.07 eV per atom
Offset from the most stable computed form: 23.9 kJ/mol of atoms
Magnetic moment: 1.1 μB per cell


No. 6
A plane-wave DFT calculation with PBE was carried out for a relaxed structure of Mg2MnIr.

```
data_Mg2MnIr
_symmetry_space_group_name_H-M 'I -4 2 d'
_symmetry_Int_Tables_number 122
_symmetry_space_group_name_Hall 'I -4 2bw'
_cell_length_a 7.129
_cell_length_b 7.129
_cell_length_c 5.137
_cell_angle_alpha 90.00
_cell_angle_beta 90.00
_cell_angle_gamma 90.00
loop_
_atom_site_label
_atom_site_type_symbol
_atom_site_fract_x
_atom_site_fract_y
_atom_site_fract_z
Mg1 Mg 0.250 0.250 0.125
Mn1 Mn 0.000 0.000 0.000
Ir1 Ir 0.000 0.000 0.500
```

Computed properties:
Offset from the most stable computed form: 76.2 kJ/mol of atoms
ΔE_f: 0.66 eV per atom
Magnetic moment: 0.0 μB per cell


No. 7
A plane-wave DFT calculation with PBE was carried out for a relaxed structure of USiAs.

```
data_USiAs
_symmetry_space_group_name_H-M 'P -6 m 2'
_symmetry_Int_Tables_number 187
_symmetry_space_group_name_Hall 'P -6 2'
_cell_length_a 4.7295
_cell_length_b 4.7295
_cell_length_c 2.8077
_cell_angle_alpha 90.00
_cell_angle_beta 90.00
_cell_angle_gamma 120.00
loop_
_atom_site_label
_atom_site_type_symbol
_atom_site_fract_x
_atom_site_fract_y
_atom_site_fract_z
U1 U 0.0000 0.0000 0.0000
Si1 Si 0.6667 0.3333 0.5000
As1 As 0.3333 0.6667 0.5000
```

Computed properties:
E_form (uncorrected): -0.13 eV per atom
Magnetic moment: 0.6 μB per cell


No. 8
A plane-wave DFT calculation with PBE was carried out for a relaxed structure of MnIn3Pd.

```
data_MnIn3Pd
_symmetry_space_group_name_H-M 'P m -3 m'
_symmetry_Int_Tables_number 221
_symmetry_space_group_name_Hall '-P 4 2 3'
_cell_length_a 5.149
_cell_length_b 5.149
_cell_length_c 5.149
_cell_angle_alpha 90.00
_cell_angle_beta 90.00
_cell_angle_gamma 90.00
loop_
_atom_site_label
_atom_site_type_symbol
_atom_site_fract_x
_atom_site_fract_y
_atom_site_fract_z
Mn1 Mn 0.000 0.000 0.000
In1 In 0.000 0.500 0.500
Pd1 Pd 0.500 0.500 0.500
```

Computed properties:
Offset from the most stable computed form: 0.0 kJ/mol of atoms
ΔE_f: 0.33 eV per atom
Magnetic moment: 4.4 μB per cell


Question: Which of these has the highest magnetic moment?
Answer: MnIn3Pd